[1]
Entry from Alexandria via LeMat-Bulk: a geometry-optimized GdY2Zn structure (PBE).

a = 3.575 Å, b = 3.575 Å, c = 8.726 Å
α = 90.00°, β = 90.00°, γ = 90.00°
Fractional coordinates of all 4 atoms:
Gd: 0.000 0.000 0.000
Y: 0.500 0.500 0.296
Y: 0.500 0.500 0.704
Zn: 0.000 0.000 0.500

Computed properties:
Its volume is 27.87 Å³/atom. The energy above the lowest structure with this stoichiometry is 0.0 meV per atom. Its crystal system is tetragonal. The formation energy is -0.64 eV per formula unit.

=====

[2]
Entry from Alexandria via LeMat-Bulk: a geometry-optimized Ni2RuRh4 structure (PBE).

a = 6.377 Å, b = 6.377 Å, c = 6.377 Å
α = 109.38°, β = 109.38°, γ = 109.65°
Fractional coordinates of all 14 atoms:
Ni: 0.375 0.249 0.374
Ni: 0.751 0.125 0.126
Ni: 0.875 0.001 0.626
Ni: 0.999 0.625 0.874
Ru: 0.250 0.750 0.500
Ru: 0.500 0.500 0.000
Rh: 0.123 0.376 0.083
Rh: 0.126 0.373 0.583
Rh: 0.294 0.041 0.917
Rh: 0.456 0.874 0.247
Rh: 0.624 0.706 0.747
Rh: 0.627 0.209 0.753
Rh: 0.791 0.544 0.417
Rh: 0.959 0.877 0.253

Computed properties:
Its volume is 14.26 Å³/atom. The energy above the lowest structure with this stoichiometry is 68.9 meV per atom. Its crystal system is tetragonal. The formation energy is 2.63 eV per formula unit.